DFT (PBE) results for a geometry-optimized ZrAg2Ru structure.

a b c (Å): 3.1866 3.1866 26.2327
angles (deg): 90.00 90.00 120.00
Space group R3m (No. 160, hexagonal axes)
One atom of each set of equivalent atoms:
Zr  0.0000  0.0000  0.0000 (multiplicity 3)
Ag  0.0000  0.0000  0.2406 (multiplicity 3)
Ag  0.0000  0.0000  0.4877 (multiplicity 3)
Ru  0.0000  0.0000  0.7352 (multiplicity 3)

ΔE_f   140 meV per atom
Spin magnetization   0.00 μB/atom
DFT total energy   -68.902 eV per cell
Offset from the most stable computed form   0.93 eV/f.u.

---

DFT (PBE) results for a geometry-optimized ZrAg2Ru structure.

a b c (Å): 3.335 3.522 6.126
angles (deg): 90.00 90.00 90.00
Space group Pmm2 (No. 25)
One atom of each set of equivalent atoms:
Zr  0.000  0.000  0.000 (multiplicity 1)
Ag  0.000  0.000  0.524 (multiplicity 1)
Ag  0.500  0.500  0.293 (multiplicity 1)
Ru  0.500  0.500  0.797 (multiplicity 1)

ΔE_f   -72 meV per atom
Spin magnetization   0.00 μB/atom
DFT total energy   -23.813 eV per cell
Offset from the most stable computed form   0.09 eV/f.u.

---

DFT (PBE) results for a geometry-optimized Zr2AgRu structure.

a b c (Å): 3.406 4.931 9.331
angles (deg): 90.00 90.00 90.00
Space group Cmm2 (No. 35)
One atom of each set of equivalent atoms:
Zr  0.000  0.000  0.000 (multiplicity 2)
Zr  0.000  0.500  0.291 (multiplicity 2)
Ag  0.000  0.500  0.739 (multiplicity 2)
Ru  0.000  0.000  0.496 (multiplicity 2)

ΔE_f   106 meV per atom
Spin magnetization   0.00 μB/atom
DFT total energy   -57.599 eV per cell

---

DFT (PBE) results for a geometry-optimized Zr2AgRu structure.

a b c (Å): 4.793 4.793 3.293
angles (deg): 90.00 90.00 90.00
Space group P4/mmm (No. 123)
One atom of each set of equivalent atoms:
Zr  0.000  0.500  0.000 (multiplicity 2)
Ag  0.000  0.000  0.500 (multiplicity 1)
Ru  0.500  0.500  0.500 (multiplicity 1)

ΔE_f   -244 meV per atom
Spin magnetization   0.00 μB/atom
DFT total energy   -30.200 eV per cell

---

DFT (PBE) results for a geometry-optimized Zr2AgRu structure.

a b c (Å): 6.641 6.641 6.641
angles (deg): 90.00 90.00 90.00
Space group F-43m (No. 216)
One atom of each set of equivalent atoms:
Zr  0.000  0.000  0.000 (multiplicity 4)
Zr  0.250  0.250  0.250 (multiplicity 4)
Ag  0.250  0.250  0.750 (multiplicity 4)
Ru  0.000  0.000  0.500 (multiplicity 4)

ΔE_f   4 meV per atom
Spin magnetization   0.00 μB/atom
DFT total energy   -116.823 eV per cell

---

DFT (PBE) results for a geometry-optimized Zr2AgRu structure.

a b c (Å): 3.439 3.439 6.436
angles (deg): 90.00 90.00 90.00
Space group P4mm (No. 99)
One atom of each set of equivalent atoms:
Zr  0.000  0.000  0.000 (multiplicity 1)
Zr  0.500  0.500  0.297 (multiplicity 1)
Ag  0.000  0.000  0.543 (multiplicity 1)
Ru  0.500  0.500  0.800 (multiplicity 1)

ΔE_f   -73 meV per atom
Spin magnetization   0.00 μB/atom
DFT total energy   -29.514 eV per cell

---

DFT (PBE) results for a geometry-optimized ZrAg2Ru structure.

a b c (Å): 5.330 10.309 3.137
angles (deg): 90.00 122.33 90.00
Space group C2/m (No. 12)
One atom of each set of equivalent atoms:
Zr  0.000  0.000  0.000 (multiplicity 2)
Ag  0.250  0.250  0.500 (multiplicity 4)
Ru  0.000  0.500  0.000 (multiplicity 2)

ΔE_f   155 meV per atom
Spin magnetization   0.00 μB/atom
DFT total energy   -45.815 eV per cell
Offset from the most stable computed form   0.99 eV/f.u.

---

DFT (PBE) results for a geometry-optimized Zr2AgRu structure.

a b c (Å): 3.1578 3.1578 27.7968
angles (deg): 90.00 90.00 120.00
Space group R3m (No. 160, hexagonal axes)
One atom of each set of equivalent atoms:
Zr  0.0000  0.0000  0.0000 (multiplicity 3)
Zr  0.0000  0.0000  0.2372 (multiplicity 3)
Ag  0.0000  0.0000  0.4835 (multiplicity 3)
Ru  0.0000  0.0000  0.7349 (multiplicity 3)

ΔE_f   150 meV per atom
Spin magnetization   0.09 μB/atom
DFT total energy   -85.868 eV per cell

---

DFT (PBE) results for a geometry-optimized ZrAgRu3 structure.

a b c (Å): 4.800 4.800 4.800
angles (deg): 90.00 90.00 90.00
Space group Pm-3m (No. 221)
One atom of each set of equivalent atoms:
Zr  0.000  0.000  0.000 (multiplicity 1)
Ag  0.500  0.500  0.500 (multiplicity 1)
Ru  0.000  0.000  0.500 (multiplicity 3)

ΔE_f   1614 meV per atom
Spin magnetization   0.71 μB/atom
DFT total energy   -31.159 eV per cell
Offset from the most stable computed form   0.00 eV/f.u.

---

DFT (PBE) results for a geometry-optimized ZrAg2Ru structure.

a b c (Å): 2.838 4.531 5.450
angles (deg): 90.00 90.00 90.00
Space group Pmmm (No. 47)
One atom of each set of equivalent atoms:
Zr  0.000  0.000  0.000 (multiplicity 1)
Ag  0.500  0.500  0.257 (multiplicity 2)
Ru  0.000  0.000  0.500 (multiplicity 1)

ΔE_f   146 meV per atom
Spin magnetization   0.00 μB/atom
DFT total energy   -22.944 eV per cell
Offset from the most stable computed form   0.96 eV/f.u.

---

DFT (PBE) results for a geometry-optimized AgS3 structure.

a b c (Å): 3.657 5.287 3.658
angles (deg): 90.00 90.00 90.00
Space group Pmm2 (No. 25)
One atom of each set of equivalent atoms:
Ag  0.000  0.000  0.000 (multiplicity 1)
S  0.000  0.500  0.001 (multiplicity 1)
S  0.500  0.000  0.500 (multiplicity 1)
S  0.500  0.500  0.501 (multiplicity 1)

Spin magnetization   0.00 μB/atom
Raw formation energy   130 kJ/mol of formula units
DFT total energy   -13.888 eV per cell

---

DFT (PBE) results for a geometry-optimized Ag2S structure.

a b c (Å): 7.879 7.879 4.055
angles (deg): 90.00 90.00 90.00
Space group I4_1/amd (No. 141, origin choice 2)
One atom of each set of equivalent atoms:
Ag  0.000  0.000  0.000 (multiplicity 8)
S  0.000  0.250  0.375 (multiplicity 4)

Spin magnetization   0.00 μB/atom
Raw formation energy   -3 kJ/mol of formula units
DFT total energy   -39.449 eV per cell

---

DFT (PBE) results for a geometry-optimized Ag2S structure.

a b c (Å): 4.521 6.225 5.979
angles (deg): 90.00 121.41 90.00
Space group Pc (No. 7)
One atom of each set of equivalent atoms:
Ag  0.000  0.004  0.000 (multiplicity 2)
Ag  0.640  0.423  0.453 (multiplicity 2)
S  0.042  0.299  0.270 (multiplicity 2)

Spin magnetization   0.00 μB/atom
Raw formation energy   -9 kJ/mol of formula units
DFT total energy   -19.856 eV per cell

---

DFT (PBE) results for a geometry-optimized Ag2S structure.

a b c (Å): 4.382 6.951 7.347
angles (deg): 90.00 90.00 90.00
Space group P2_12_12_1 (No. 19)
One atom of each set of equivalent atoms:
Ag  0.011  0.226  0.357 (multiplicity 4)
Ag  0.149  0.611  0.544 (multiplicity 4)
S  0.122  0.997  0.655 (multiplicity 4)

Spin magnetization   0.00 μB/atom
Raw formation energy   1 kJ/mol of formula units
DFT total energy   -39.290 eV per cell